The following is a GGA-PBEsol calculation of a geometry-optimized MgInHg2 structure, from Alexandria.

Structure (CIF):
```
data_MgInHg2
_space_group_name_H-M_alt 'P 1'
_space_group_IT_number 1
_space_group_name_Hall 'P 1'
_cell_length_a 3.4781
_cell_length_b 5.4309
_cell_length_c 4.8838
_cell_angle_alpha 90.00
_cell_angle_beta 90.32
_cell_angle_gamma 90.00
loop_
_atom_site_label
_atom_site_fract_x
_atom_site_fract_y
_atom_site_fract_z
Mg1 0.0000 0.0000 0.0000
In1 0.2625 0.5000 0.3021
Hg1 0.5036 0.0000 0.5048
Hg2 0.7709 0.5000 0.8031
```

- E_form: -0.1089 eV per atom
- SG: Pm

The following is a GGA-PBEsol calculation of a geometry-optimized AlPPb2Au structure, from Alexandria.

Structure (CIF):
```
data_AlPPb2Au
_space_group_name_H-M_alt 'P 1'
_space_group_IT_number 1
_space_group_name_Hall 'P 1'
_cell_length_a 5.5317
_cell_length_b 5.5317
_cell_length_c 4.4230
_cell_angle_alpha 90.00
_cell_angle_beta 90.00
_cell_angle_gamma 90.00
loop_
_atom_site_label
_atom_site_fract_x
_atom_site_fract_y
_atom_site_fract_z
Al1 0.0000 0.0000 0.0000
P1 0.0000 0.0000 0.5000
Pb1 0.0000 0.5000 0.5000
Pb2 0.5000 0.0000 0.5000
Au1 0.5000 0.5000 0.0000
```

- E_form: 0.5195 eV per atom
- SG: P4/mmm

The following is a GGA-PBEsol calculation of a geometry-optimized BaSiMo2 structure, from Alexandria.

Structure (CIF):
```
data_BaSiMo2
_space_group_name_H-M_alt 'P 1'
_space_group_IT_number 1
_space_group_name_Hall 'P 1'
_cell_length_a 5.8455
_cell_length_b 5.8455
_cell_length_c 5.8455
_cell_angle_alpha 148.50
_cell_angle_beta 125.98
_cell_angle_gamma 63.89
loop_
_atom_site_label
_atom_site_fract_x
_atom_site_fract_y
_atom_site_fract_z
Ba1 0.0000 0.0000 0.0000
Si1 0.7026 0.2026 0.5000
Mo1 0.2881 0.7881 0.5000
Mo2 0.4718 0.4718 0.0000
```

- SG: Imm2

The following is a GGA-PBEsol calculation of a geometry-optimized Li4PtBr structure, from Alexandria.

Structure (CIF):
```
data_Li4PtBr
_space_group_name_H-M_alt 'P 1'
_space_group_IT_number 1
_space_group_name_Hall 'P 1'
_cell_length_a 5.0650
_cell_length_b 5.0650
_cell_length_c 5.0650
_cell_angle_alpha 60.00
_cell_angle_beta 60.00
_cell_angle_gamma 60.00
loop_
_atom_site_label
_atom_site_fract_x
_atom_site_fract_y
_atom_site_fract_z
Li1 0.1236 0.1236 0.1236
Li2 0.1236 0.1236 0.6293
Li3 0.1236 0.6293 0.1236
Li4 0.6293 0.1236 0.1236
Pt1 0.7500 0.7500 0.7500
Br1 0.5000 0.5000 0.5000
```

- SG: F-43m

The following is a GGA-PBEsol calculation of a geometry-optimized Ba2AgHg structure, from Alexandria.

Structure (CIF):
```
data_Ba2AgHg
_space_group_name_H-M_alt 'P 1'
_space_group_IT_number 1
_space_group_name_Hall 'P 1'
_cell_length_a 4.0509
_cell_length_b 5.7358
_cell_length_c 5.7361
_cell_angle_alpha 90.00
_cell_angle_beta 90.00
_cell_angle_gamma 90.00
loop_
_atom_site_label
_atom_site_fract_x
_atom_site_fract_y
_atom_site_fract_z
Ba1 0.0000 0.0000 0.0000
Ba2 0.0000 0.5000 0.4987
Ag1 0.5000 0.5000 0.9975
Hg1 0.5000 0.0000 0.5006
```

- E_form: -0.3572 eV per atom
- SG: Pmm2

The following is a GGA-PBEsol calculation of a geometry-optimized TaCoP2 structure, from Alexandria.

Structure (CIF):
```
data_TaCoP2
_space_group_name_H-M_alt 'P 1'
_space_group_IT_number 1
_space_group_name_Hall 'P 1'
_cell_length_a 4.1689
_cell_length_b 4.1689
_cell_length_c 4.1689
_cell_angle_alpha 60.00
_cell_angle_beta 60.00
_cell_angle_gamma 60.00
loop_
_atom_site_label
_atom_site_fract_x
_atom_site_fract_y
_atom_site_fract_z
Ta1 0.0000 0.0000 0.0000
Co1 0.5000 0.5000 0.5000
P1 0.2500 0.2500 0.2500
P2 0.7500 0.7500 0.7500
```

- E_form: -0.3096 eV per atom
- Excess energy over the best structure of this formula in the dataset: 113 meV/atom
- SG: Fm-3m

These records have ρ values of 9.7, 8.2, 7.1, 5.5, 7.3, 9.8 g cm⁻³, in the order they appear.
These records have total DFT energy (no corrections) values of -1.57, -3.84, -6.95, -2.90, -2.40, -8.28 eV per atom, in the order they appear.